! CsCaTe2Se, relaxed, DFT PBE-GGA; values from VASP
&SYSTEM
  ibrav = 0, nat = 5, ntyp = 4
/
ATOMIC_SPECIES
Cs 132.91 Cs.upf
Ca 40.08 Ca.upf
Te 127.60 Te.upf
Se 78.96 Se.upf
CELL_PARAMETERS angstrom
-2.600 -0.743 5.115
-3.535 -4.330 -2.426
3.930 -4.002 1.416
ATOMIC_POSITIONS crystal
Cs 0.000 0.500 0.000
Ca 0.500 0.500 0.500
Te 0.000 0.000 0.500
Te 0.500 0.000 0.000
Se 0.000 0.000 0.000
! ΔE_f (raw) = -0.21 eV/atom
! ΔE to the lowest computed polymorph = 0.025 eV/atom
! Uncorrected energy = -13.7 eV/cell

---

! CsCaTeSe, relaxed, DFT PBE-GGA; values from VASP
&SYSTEM
  ibrav = 0, nat = 8, ntyp = 4
/
ATOMIC_SPECIES
Cs 132.91 Cs.upf
Ca 40.08 Ca.upf
Te 127.60 Te.upf
Se 78.96 Se.upf
CELL_PARAMETERS angstrom
9.695 0.000 -0.072
0.000 3.784 0.000
-2.644 0.000 7.923
ATOMIC_POSITIONS crystal
Cs 0.281 0.000 0.013
Cs 0.281 0.500 0.513
Ca 0.731 0.000 0.797
Ca 0.731 0.500 0.297
Te 0.962 0.000 0.186
Te 0.962 0.500 0.686
Se 0.560 0.000 0.422
Se 0.560 0.500 0.922
! ΔE_f (raw) = -1.19 eV/atom
! ΔE to the lowest computed polymorph = 0.012 eV/atom
! Uncorrected energy = -28.5 eV/cell

---

! CsCaTeSe, relaxed, DFT PBE-GGA; values from VASP
&SYSTEM
  ibrav = 0, nat = 4, ntyp = 4
/
ATOMIC_SPECIES
Cs 132.91 Cs.upf
Ca 40.08 Ca.upf
Te 127.60 Te.upf
Se 78.96 Se.upf
CELL_PARAMETERS angstrom
4.402 0.000 0.002
0.000 4.252 0.000
-1.507 0.000 7.911
ATOMIC_POSITIONS crystal
Cs 0.911 0.500 0.061
Ca 0.072 0.500 0.573
Te 0.517 0.000 0.420
Se 0.348 0.000 0.796
! ΔE_f (raw) = -1.13 eV/atom
! ΔE to the lowest computed polymorph = 0.069 eV/atom
! Uncorrected energy = -14.0 eV/cell